First-principles (PBE) data for a relaxed LaAg4Rh crystal, as listed in the Alexandria database.

a = 5.540 Å, b = 5.540 Å, c = 5.540 Å
α = 60.00°, β = 60.00°, γ = 60.00°
Positions (direct):
La1 0.000 0.000 0.000
Ag1 0.376 0.376 0.376
Ag2 0.376 0.376 0.873
Ag3 0.376 0.873 0.376
Ag4 0.873 0.376 0.376
Rh1 0.750 0.750 0.750

## Properties
**Calculated volume**: 120 Å³ per cell
**Formation enthalpy at 0 K**: -83.4 meV per atom